*i*
DFT (GGA-PBE) results for an optimized crystal structure of Cu2Pd5Pt2.

Computed properties:
**Crystal system**: triclinic
**DOS(E_F)**: 1.66 states/eV per atom
**SG**: No. 1

```
18
Lattice="-1.184 -6.124 -3.384 6.339 -1.042 0.129 -2.446 2.533 7.971" Properties=species:S:1:pos:R:3 pbc="T T T"
Cu 0.020 -4.160 4.661
Cu -0.257 -0.917 6.146
Cu 4.120 -3.777 1.334
Cu 1.392 -1.021 3.962
Pd 3.999 -5.280 -1.763
Pd 2.111 -0.011 6.669
Pd 0.576 -5.599 -1.820
Pd -1.224 1.505 6.577
Pd 2.348 -3.462 3.542
Pd -0.451 -0.865 0.964
Pd -1.008 -2.047 3.598
Pd 1.949 -2.341 0.936
Pd -0.481 0.741 3.906
Pd 2.005 -5.096 0.623
Pt 0.033 -3.945 2.121
Pt 3.692 -1.229 2.543
Pt 3.715 -1.545 5.142
Pt -0.106 -3.354 -0.398
```

*ii*
DFT (GGA-PBE) results for an optimized crystal structure of Cu2Pd5Pt2.

Computed properties:
**Crystal system**: orthorhombic
**DOS(E_F)**: 1.42 states/eV per atom
**SG**: No. 64

```
18
Lattice="-3.402 -5.373 -1.280 5.284 -3.594 1.043 -4.280 1.281 5.997" Properties=species:S:1:pos:R:3 pbc="T T T"
Cu 2.479 -6.514 0.107
Cu -0.597 -2.454 -0.344
Cu 2.875 -2.940 0.490
Cu -0.993 -6.028 -0.727
Pd 0.000 0.000 0.000
Pd 0.941 -4.484 -0.119
Pd 0.325 -6.991 1.322
Pd 0.714 -2.241 1.795
Pd 2.838 -4.857 2.122
Pd -1.799 -4.376 0.995
Pd -2.723 -0.695 4.439
Pd -3.112 -5.445 3.965
Pd -5.236 -2.829 3.639
Pd -0.599 -3.311 4.765
Pt -0.701 -0.221 2.790
Pt 0.240 -4.705 2.671
Pt 1.705 -2.092 4.251
Pt -2.638 -2.982 3.089
```

*i* is preferred energetically. Next in line: 0.174 eV/atom higher.